First-principles (PBE) data for crystalline Ho3GaTe2 at its relaxed geometry, as listed in Alexandria.

Cell: 4.1878 6.0561 13.2067 Å, 90.00 90.00 90.00°
Atoms (fractional coordinates):
1 Ho 0.0000 0.0000 0.0000
2 Ho 0.0000 0.0000 0.3489
3 Ho 0.0000 0.0000 0.6511
4 Ho 0.5000 0.5000 0.1511
5 Ho 0.5000 0.5000 0.5000
6 Ho 0.5000 0.5000 0.8489
7 Ga 0.0000 0.5000 0.0000
8 Ga 0.5000 0.0000 0.5000
9 Te 0.0000 0.5000 0.3266
10 Te 0.0000 0.5000 0.6734
11 Te 0.5000 0.0000 0.1734
12 Te 0.5000 0.0000 0.8266

Calculated values
* uncorrected formation energy: -1082 meV per atom
* total DFT energy (no corrections): -0.36181 Ry/atom
* space-group type: Immm, No. 71
* volume: 27.91 Å³ per atom


First-principles (PBE) data for crystalline Ho6Ga3Te at its relaxed geometry, as listed in Alexandria.

Cell: 8.7986 8.7986 7.3736 Å, 90.00 90.00 106.90°
Atoms (fractional coordinates):
1 Ho 0.0147 0.9853 0.5000
2 Ho 0.1009 0.5178 0.9978
3 Ho 0.2550 0.3315 0.3633
4 Ho 0.2860 0.7140 0.4115
5 Ho 0.3315 0.2550 0.8633
6 Ho 0.4822 0.8991 0.9978
7 Ho 0.5178 0.1009 0.4978
8 Ho 0.6685 0.7450 0.3633
9 Ho 0.7140 0.2860 0.9115
10 Ho 0.7450 0.6685 0.8633
11 Ho 0.8991 0.4822 0.4978
12 Ho 0.9853 0.0147 0.0000
13 Ga 0.0213 0.2672 0.7195
14 Ga 0.2672 0.0213 0.2195
15 Ga 0.4448 0.5552 0.0938
16 Ga 0.5552 0.4448 0.5938
17 Ga 0.7328 0.9787 0.7195
18 Ga 0.9787 0.7328 0.2195
19 Te 0.1727 0.8273 0.7671
20 Te 0.8273 0.1727 0.2671

Calculated values
* uncorrected formation energy: -465 meV per atom
* total DFT energy (no corrections): -0.32586 Ry/atom
* space-group type: Cmc2_1, No. 36
* volume: 27.31 Å³ per atom


First-principles (PBE) data for crystalline Ho6GaTe3 at its relaxed geometry, as listed in Alexandria.

Cell: 11.9984 3.9983 12.5170 Å, 90.00 104.07 90.00°
Atoms (fractional coordinates):
1 Ho 0.0117 0.2500 0.3526
2 Ho 0.0827 0.2500 0.8854
3 Ho 0.2609 0.7500 0.3003
4 Ho 0.2910 0.7500 0.7579
5 Ho 0.3931 0.2500 0.5428
6 Ho 0.4479 0.7500 0.1325
7 Ho 0.5521 0.2500 0.8675
8 Ho 0.6069 0.7500 0.4572
9 Ho 0.7090 0.2500 0.2421
10 Ho 0.7391 0.2500 0.6997
11 Ho 0.9173 0.7500 0.1146
12 Ho 0.9883 0.7500 0.6474
13 Ga 0.4580 0.2500 0.3136
14 Ga 0.5420 0.7500 0.6864
15 Te 0.1142 0.2500 0.1414
16 Te 0.1750 0.7500 0.5107
17 Te 0.3402 0.2500 0.9523
18 Te 0.6598 0.7500 0.0477
19 Te 0.8250 0.2500 0.4893
20 Te 0.8858 0.7500 0.8586

Calculated values
* uncorrected formation energy: -818 meV per atom
* total DFT energy (no corrections): -0.35351 Ry/atom
* space-group type: P2_1/m, No. 11
* volume: 29.12 Å³ per atom